DFT (PBE) results for a geometry-optimized RhI structure.

a b c (Å): 9.992 9.992 4.297
angles (deg): 90.00 90.00 120.00
Fractional positions:
Rh: 0.029 0.425 0.250
Rh: 0.396 0.971 0.250
Rh: 0.425 0.396 0.750
Rh: 0.575 0.604 0.250
Rh: 0.604 0.029 0.750
Rh: 0.971 0.575 0.750
I: 0.121 0.725 0.250
I: 0.275 0.396 0.250
I: 0.396 0.121 0.750
I: 0.604 0.879 0.250
I: 0.725 0.604 0.750
I: 0.879 0.275 0.750

Calculated values
The uncorrected formation energy is 0.24 eV/atom. Its spin magnetization is 0.0 μB per formula unit.



DFT (PBE) results for a geometry-optimized RhI structure.

a b c (Å): 7.397 7.397 7.397
angles (deg): 90.00 90.00 90.00
Fractional positions:
Rh: 0.000 0.250 0.500
Rh: 0.000 0.750 0.500
Rh: 0.250 0.500 0.000
Rh: 0.500 0.000 0.250
Rh: 0.500 0.000 0.750
Rh: 0.750 0.500 0.000
I: 0.000 0.500 0.250
I: 0.000 0.500 0.750
I: 0.250 0.000 0.500
I: 0.500 0.250 0.000
I: 0.500 0.750 0.000
I: 0.750 0.000 0.500

Calculated values
The uncorrected formation energy is 0.46 eV/atom. Its spin magnetization is 0.0 μB per formula unit.



DFT (PBE) results for a geometry-optimized RuRhI2 structure.

a b c (Å): 7.389 7.389 7.389
angles (deg): 132.63 132.63 69.23
Fractional positions:
Ru: 0.000 0.000 0.000
Ru: 0.750 0.250 0.500
Rh: 0.250 0.750 0.500
Rh: 0.500 0.500 0.000
I: 0.121 0.625 0.996
I: 0.375 0.371 0.496
I: 0.629 0.125 0.004
I: 0.875 0.879 0.504

Calculated values
The uncorrected formation energy is 0.63 eV/atom. Its spin magnetization is 0.0 μB per formula unit. Its energy above the lowest structure with this stoichiometry is 0.000 eV/f.u.



DFT (PBE) results for a geometry-optimized Ru2RhI structure.

a b c (Å): 4.513 4.513 4.513
angles (deg): 60.00 60.00 60.00
Fractional positions:
Ru: 0.250 0.250 0.250
Ru: 0.750 0.750 0.750
Rh: 0.000 0.000 0.000
I: 0.500 0.500 0.500

Calculated values
The uncorrected formation energy is 0.84 eV/atom. Its spin magnetization is 2.3 μB per formula unit. Its energy above the lowest structure with this stoichiometry is 0.000 eV/f.u.



DFT (PBE) results for a geometry-optimized RuRhI3 structure.

a b c (Å): 5.366 5.366 5.366
angles (deg): 90.00 90.00 90.00
Fractional positions:
Ru: 0.000 0.000 0.000
Rh: 0.500 0.500 0.500
I: 0.000 0.500 0.500
I: 0.500 0.000 0.500
I: 0.500 0.500 0.000

Calculated values
The uncorrected formation energy is 1.00 eV/atom. Its spin magnetization is 3.6 μB per formula unit.



DFT (PBE) results for a geometry-optimized RuRhI2 structure.

a b c (Å): 4.820 4.820 4.820
angles (deg): 60.00 60.00 60.00
Fractional positions:
Ru: 0.000 0.000 0.000
Rh: 0.500 0.500 0.500
I: 0.250 0.250 0.250
I: 0.750 0.750 0.750

Calculated values
The uncorrected formation energy is 0.86 eV/atom. Its spin magnetization is 0.6 μB per formula unit. Its energy above the lowest structure with this stoichiometry is 0.911 eV/f.u.